Material: NdDyMgIr
Method: DFT, GGA-PBE
State: optimized geometry

Space group   No. 216
Formation energy from the elements   -370.3 meV per atom

abc: 5.112 5.112 5.112
angles: 60.00 60.00 60.00
Sites, in units of the cell vectors:
Mg 0.500 0.500 0.500
Ir 0.000 0.000 0.000
Nd 0.750 0.750 0.750
Dy 0.250 0.250 0.250